KTc2IrBr: optimized geometry, PBE.

Unit cell a=5.182 b=5.182 c=5.202 alpha=90.00 beta=90.00 gamma=90.00
Element x y z (fractional)
K  0.000  0.000  0.000
Tc  0.000  0.500  0.000
Tc  0.500  0.000  0.000
Ir  0.500  0.500  0.500
Br  0.000  0.000  0.500

Computed properties:
**D(E_F)**: 6.13 states/eV per cell
**Magnetization**: 9.213 μB/f.u.
**VASP energy**: -3.448 eV/atom